Record 1
Below is crystalline CaMn2Cl at its relaxed geometry, with properties calculated at the PBE level.

Cell: 3.8252 3.8252 12.5950 Å, 81.27 81.27 90.00°
Closest atoms and distances in Å follow each position.
Atoms (fractional coordinates):
Ca: 0.0000 0.0000 0.0000  4 Cl 2.70
Ca: 0.7500 0.2500 0.5000  4 Cl 2.70
Mn: 0.1224 0.1250 0.2500  4 Mn 2.69-2.72
Mn: 0.6276 0.6250 0.2500  4 Mn 2.69-2.72
Mn: 0.3750 0.8776 0.7500  4 Mn 2.69-2.72
Mn: 0.8750 0.3724 0.7500  4 Mn 2.69-2.72
Cl: 0.5000 0.5000 0.0000  4 Ca 2.70
Cl: 0.2500 0.7500 0.5000  4 Ca 2.70

uncorrected energy = -5.54 eV per atom
raw formation energy = 0.011 eV/atom
relative energy among the computed polymorphs = 48.3 kJ/mol of formula units



Record 2
Below is crystalline CaMn2Cl at its relaxed geometry, with properties calculated at the PBE level.

Cell: 3.2921 3.2921 8.9205 Å, 90.00 90.00 90.00°
Closest atoms and distances in Å follow each position.
Atoms (fractional coordinates):
Ca: 0.0000 0.0000 0.5017  4 Cl 2.79
Mn: 0.0000 0.0000 0.0809  4 Mn 2.74
Mn: 0.5000 0.5000 0.2425  4 Mn 2.74
Cl: 0.5000 0.5000 0.6749  4 Ca 2.79

uncorrected energy = -5.66 eV per atom
raw formation energy = -0.113 eV/atom
relative energy among the computed polymorphs = 0.6 kJ/mol of formula units



Record 3
Below is crystalline CaMn2Cl at its relaxed geometry, with properties calculated at the PBE level.

Cell: 6.4337 6.4337 6.4337 Å, 150.82 139.14 50.99°
Closest atoms and distances in Å follow each position.
Atoms (fractional coordinates):
Ca: 0.7500 0.2500 0.5000  4 Cl 2.77
Mn: 0.0120 0.0120 0.0000  4 Mn 2.78
Mn: 0.4880 0.4880 0.0000  4 Mn 2.78
Cl: 0.2500 0.7500 0.5000  4 Ca 2.77

uncorrected energy = -5.55 eV per atom
raw formation energy = 0.000 eV/atom
relative energy among the computed polymorphs = 44.2 kJ/mol of formula units



Record 4
Below is crystalline CaMn2Cl at its relaxed geometry, with properties calculated at the PBE level.

Cell: 5.0115 5.0115 5.0115 Å, 60.00 60.00 60.00°
Closest atoms and distances in Å follow each position.
Atoms (fractional coordinates):
Ca: 0.5000 0.5000 0.5000  4 Cl 3.07, 4 Mn 3.07
Mn: 0.0000 0.0000 0.0000  4 Cl 3.07, 4 Mn 3.07
Mn: 0.2500 0.2500 0.2500  4 Mn 3.07, 4 Ca 3.07
Cl: 0.7500 0.7500 0.7500  4 Mn 3.07, 4 Ca 3.07

uncorrected energy = -5.18 eV per atom
raw formation energy = 0.371 eV/atom
relative energy among the computed polymorphs = 187.2 kJ/mol of formula units



Record 5
Below is crystalline CaMn2Cl at its relaxed geometry, with properties calculated at the PBE level.

Cell: 5.8483 5.8483 3.4411 Å, 90.00 90.00 125.46°
Closest atoms and distances in Å follow each position.
Atoms (fractional coordinates):
Ca: 0.5000 0.0000 0.5000  2 Cl 2.68
Mn: 0.0000 0.0000 0.0000  2 Mn 2.68
Mn: 0.5000 0.5000 0.0000  2 Mn 2.68
Cl: 0.0000 0.5000 0.5000  2 Ca 2.68

uncorrected energy = -5.33 eV per atom
raw formation energy = 0.220 eV/atom
relative energy among the computed polymorphs = 129.2 kJ/mol of formula units



Record 6
Below is crystalline CaMn2Cl at its relaxed geometry, with properties calculated at the PBE level.

Cell: 3.2552 3.2654 8.6519 Å, 79.06 90.00 90.00°
Closest atoms and distances in Å follow each position.
Atoms (fractional coordinates):
Ca: 0.0000 0.5579 0.5077  4 Cl 2.81
Mn: 0.0000 0.7837 0.0605  4 Mn 2.74
Mn: 0.5000 0.1956 0.2348  4 Mn 2.74
Cl: 0.5000 0.9629 0.6970  4 Ca 2.81

uncorrected energy = -5.66 eV per atom
raw formation energy = -0.114 eV/atom
relative energy among the computed polymorphs = 0.2 kJ/mol of formula units



Record 7
Below is crystalline CaMnCl5 at its relaxed geometry, with properties calculated at the PBE level.

Cell: 6.4839 6.4839 9.3928 Å, 102.45 102.45 88.95°
Closest atoms and distances in Å follow each position.
Atoms (fractional coordinates):
Ca: 0.9441 0.5559 0.2500  5 Cl 2.68-2.82
Ca: 0.0559 0.4441 0.7500  5 Cl 2.68-2.82
Mn: 0.0000 0.0000 0.0000  4 Cl 2.25-2.32
Mn: 0.5000 0.5000 0.5000  4 Cl 2.25-2.32
Cl: 0.7852 0.9077 0.1363  1 Mn 2.25
Cl: 0.7921 0.2982 0.4655  1 Mn 2.32
Cl: 0.4077 0.2852 0.6363  1 Mn 2.25
Cl: 0.2388 0.2612 0.2500  1 Ca 2.68, 2 Mn 2.76
Cl: 0.2018 0.7079 0.0345  1 Mn 2.32
Cl: 0.7982 0.2921 0.9655  1 Mn 2.32
Cl: 0.7612 0.7388 0.7500  1 Ca 2.68, 2 Mn 2.76
Cl: 0.5923 0.7148 0.3637  1 Mn 2.25
Cl: 0.2079 0.7018 0.5345  1 Mn 2.32
Cl: 0.2148 0.0923 0.8637  1 Mn 2.25

uncorrected energy = -4.44 eV per atom
raw formation energy = -1.526 eV/atom



Record 8
Below is crystalline Ca3MnCl at its relaxed geometry, with properties calculated at the PBE level.

Cell: 5.3157 5.3157 5.3157 Å, 90.00 90.00 90.00°
Closest atoms and distances in Å follow each position.
Atoms (fractional coordinates):
Ca: 0.0000 0.5000 0.0000  2 Cl 2.66
Ca: 0.0000 0.0000 0.5000  2 Cl 2.66
Ca: 0.5000 0.0000 0.0000  2 Cl 2.66
Mn: 0.5000 0.5000 0.5000  12 Ca 3.76
Cl: 0.0000 0.0000 0.0000  6 Ca 2.66

uncorrected energy = -3.15 eV per atom
raw formation energy = 0.254 eV/atom
relative energy among the computed polymorphs = 5.9 kJ/mol of formula units



Record 9
Below is crystalline CaMnCl4 at its relaxed geometry, with properties calculated at the PBE level.

Cell: 6.0083 6.0083 6.0083 Å, 60.00 60.00 60.00°
Closest atoms and distances in Å follow each position.
Atoms (fractional coordinates):
Ca: 0.0000 0.0000 0.0000  12 Cl 3.52, 4 Mn 3.68
Mn: 0.7500 0.7500 0.7500  12 Cl 3.52, 4 Ca 3.68
Cl: 0.8756 0.3748 0.3748  6 Cl 3.00-3.01
Cl: 0.3748 0.3748 0.8756  6 Cl 3.00-3.01
Cl: 0.3748 0.8756 0.3748  6 Cl 3.00-3.01
Cl: 0.3748 0.3748 0.3748  6 Cl 3.00-3.01

uncorrected energy = -3.20 eV per atom
raw formation energy = -0.104 eV/atom
relative energy among the computed polymorphs = 935.2 kJ/mol of formula units



Record 10
Below is crystalline CaMnCl3 at its relaxed geometry, with properties calculated at the PBE level.

Cell: 4.9374 4.9374 4.9374 Å, 90.00 90.00 90.00°
Closest atoms and distances in Å follow each position.
Atoms (fractional coordinates):
Ca: 0.5000 0.5000 0.5000  12 Cl 3.49
Mn: 0.0000 0.0000 0.0000  6 Cl 2.47
Cl: 0.0000 0.5000 0.0000  2 Mn 2.47
Cl: 0.0000 0.0000 0.5000  2 Mn 2.47
Cl: 0.5000 0.0000 0.0000  2 Mn 2.47

uncorrected energy = -4.44 eV per atom
raw formation energy = -1.094 eV/atom
relative energy among the computed polymorphs = 15.4 kJ/mol of formula units



Record 11
Below is crystalline CaMn2Cl at its relaxed geometry, with properties calculated at the PBE level.

Cell: 9.2155 9.2155 9.2155 Å, 21.16 21.16 21.16°
Closest atoms and distances in Å follow each position.
Atoms (fractional coordinates):
Ca: 0.2500 0.2500 0.2500  6 Mn 3.21, 6 Ca 3.38
Mn: 0.0110 0.0110 0.0110  3 Cl 2.76
Mn: 0.4890 0.4890 0.4890  3 Cl 2.76
Cl: 0.7500 0.7500 0.7500  6 Mn 2.76

uncorrected energy = -5.27 eV per atom
raw formation energy = 0.278 eV/atom
relative energy among the computed polymorphs = 151.5 kJ/mol of formula units



Record 12
Below is crystalline CaMn2Cl at its relaxed geometry, with properties calculated at the PBE level.

Cell: 5.1403 5.1403 5.1403 Å, 60.00 60.00 60.00°
Closest atoms and distances in Å follow each position.
Atoms (fractional coordinates):
Ca: 0.5000 0.5000 0.5000  8 Mn 3.15
Mn: 0.2500 0.2500 0.2500  4 Ca 3.15, 4 Cl 3.15
Mn: 0.7500 0.7500 0.7500  4 Ca 3.15, 4 Cl 3.15
Cl: 0.0000 0.0000 0.0000  8 Mn 3.15

uncorrected energy = -4.87 eV per atom
raw formation energy = 0.675 eV/atom
relative energy among the computed polymorphs = 304.6 kJ/mol of formula units



Record 13
Below is crystalline CaMn2Cl at its relaxed geometry, with properties calculated at the PBE level.

Cell: 6.3539 6.3539 4.2303 Å, 109.51 109.51 30.83°
Closest atoms and distances in Å follow each position.
Atoms (fractional coordinates):
Ca: 0.7500 0.7500 0.7500  4 Cl 2.71
Mn: 0.0307 0.0307 0.0308  1 Cl 2.52, 4 Mn 2.80
Mn: 0.4693 0.4693 0.4692  1 Cl 2.52, 4 Mn 2.80
Cl: 0.2500 0.2500 0.2500  2 Mn 2.52, 4 Ca 2.71

uncorrected energy = -5.66 eV per atom
raw formation energy = -0.114 eV/atom
relative energy among the computed polymorphs = 0.0 kJ/mol of formula units